{"formula": "Y2ScInO", "functional": "GGA-PBE", "state": "relaxed", "dos_ef_per_ev_atom": 0.6535, "e_form_raw_ev_per_atom": -1.437, "spacegroup": "P4/mmm, No. 123", "energy_ev_per_atom": -6.829, "lattice_angstrom": [[4.823, 0.000, 0.000], [0.000, 4.823, 0.000], [0.000, 0.000, 4.455]], "species": ["In", "Y", "Y", "Sc", "O"], "fractional_positions": [[0.500, 0.500, 0.500], [0.500, 0.000, 0.000], [0.000, 0.500, 0.000], [0.000, 0.000, 0.500], [0.000, 0.000, 0.000]]}

---

{"formula": "YScInO", "functional": "GGA-PBE", "state": "relaxed", "dos_ef_per_ev_atom": 0.8382, "e_form_raw_ev_per_atom": -1.395, "spacegroup": "Pmmm, No. 47", "energy_ev_per_atom": -6.518, "lattice_angstrom": [[-1.584, 4.151, 1.071], [-2.170, 0.097, -3.584], [-3.766, -2.012, 2.226]], "species": ["Y", "In", "O", "Sc"], "fractional_positions": [[0.000, 0.000, 0.500], [0.500, 0.500, 0.500], [0.000, 0.000, 0.000], [0.000, 0.500, 0.000]]}

---

{"formula": "ScZnInO4", "functional": "GGA-PBE", "state": "relaxed", "dos_ef_per_ev_atom": 0.0000, "e_form_raw_ev_per_atom": -2.187, "spacegroup": "Imma, No. 74", "energy_ev_per_atom": -6.498, "lattice_angstrom": [[6.303, 0.000, 0.000], [3.151, 5.483, 0.087], [3.151, 1.753, 5.196]], "species": ["O", "Sc", "In", "In", "O", "Zn", "O", "Zn", "O", "O", "O", "Sc", "O", "O"], "fractional_positions": [[0.247, 0.774, 0.731], [0.500, 0.000, 0.500], [0.000, 0.500, 0.500], [0.000, 0.000, 0.000], [0.749, 0.760, 0.260], [0.373, 0.377, 0.877], [0.251, 0.240, 0.740], [0.627, 0.623, 0.123], [0.753, 0.226, 0.269], [0.247, 0.231, 0.274], [0.770, 0.240, 0.740], [0.000, 0.000, 0.500], [0.753, 0.769, 0.726], [0.230, 0.760, 0.260]]}

---

{"formula": "ZrSc2InO", "functional": "GGA-PBE", "state": "relaxed", "dos_ef_per_ev_atom": 0.6964, "e_form_raw_ev_per_atom": -1.358, "spacegroup": "P4/mmm, No. 123", "energy_ev_per_atom": -7.139, "lattice_angstrom": [[-2.190, 3.344, 1.846], [-2.153, 0.676, -3.781], [-3.327, -2.935, 1.370]], "species": ["In", "Zr", "Sc", "Sc", "O"], "fractional_positions": [[0.500, 0.500, 0.500], [0.000, 0.000, 0.500], [0.000, 0.500, 0.000], [0.500, 0.000, 0.000], [0.000, 0.000, 0.000]]}

---

{"formula": "ZrScIn2O", "functional": "GGA-PBE", "state": "relaxed", "dos_ef_per_ev_atom": 0.9125, "e_form_raw_ev_per_atom": -0.719, "spacegroup": "P4/mmm, No. 123", "energy_ev_per_atom": -5.782, "lattice_angstrom": [[-0.824, 3.842, -3.011], [1.444, -2.261, -3.281], [-4.581, -1.664, -0.869]], "species": ["In", "Zr", "O", "In", "Sc"], "fractional_positions": [[0.500, 0.000, 0.000], [0.000, 0.500, 0.000], [0.000, 0.000, 0.000], [0.000, 0.000, 0.500], [0.500, 0.500, 0.500]]}

---

{"formula": "Zr2ScInO", "functional": "GGA-PBE", "state": "relaxed", "dos_ef_per_ev_atom": 0.9941, "e_form_raw_ev_per_atom": -1.234, "spacegroup": "P4/mmm, No. 123", "energy_ev_per_atom": -7.459, "lattice_angstrom": [[-0.692, -1.478, 4.276], [4.491, 0.294, 0.829], [-0.517, 4.115, 1.339]], "species": ["In", "Zr", "Sc", "Zr", "O"], "fractional_positions": [[0.500, 0.500, 0.500], [0.000, 0.500, 0.000], [0.000, 0.000, 0.500], [0.500, 0.000, 0.000], [0.000, 0.000, 0.000]]}

---

{"formula": "InSe3O", "functional": "GGA-PBE", "state": "relaxed", "dos_ef_per_ev_atom": 2.2521, "e_form_raw_ev_per_atom": 1.154, "spacegroup": "Pm-3m, No. 221", "energy_ev_per_atom": -2.476, "lattice_angstrom": [[-0.122, -0.404, 5.205], [-4.045, -3.285, -0.350], [3.301, -4.040, -0.236]], "species": ["In", "O", "Se", "Se", "Se"], "fractional_positions": [[0.000, 0.000, 0.000], [0.500, 0.500, 0.500], [0.000, 0.500, 0.000], [0.500, 0.000, 0.000], [0.000, 0.000, 0.500]]}

---

{"formula": "In4Se5O", "functional": "GGA-PBE", "state": "relaxed", "dos_ef_per_ev_atom": 0.3281, "e_form_raw_ev_per_atom": -0.502, "spacegroup": "Pmmn, No. 59", "energy_ev_per_atom": -3.836, "lattice_angstrom": [[6.293, 0.000, 0.000], [0.000, 10.550, 0.000], [0.000, 0.000, 7.757]], "species": ["O", "In", "Se", "In", "In", "O", "In", "Se", "Se", "Se", "Se", "Se", "In", "In", "In", "Se", "Se", "Se", "Se", "In"], "fractional_positions": [[0.727, 0.500, 0.500], [0.079, 0.191, 0.000], [0.743, 0.810, 0.225], [0.532, 0.500, 0.751], [0.921, 0.309, 0.500], [0.273, 0.000, 0.000], [0.468, 0.000, 0.749], [0.257, 0.310, 0.275], [0.743, 0.190, 0.225], [0.257, 0.690, 0.275], [0.805, 0.500, 0.000], [0.743, 0.810, 0.775], [0.468, 0.000, 0.251], [0.532, 0.500, 0.249], [0.921, 0.691, 0.500], [0.257, 0.690, 0.725], [0.195, 0.000, 0.500], [0.257, 0.310, 0.725], [0.743, 0.190, 0.775], [0.079, 0.809, 0.000]]}

---

{"formula": "In2Se6O15", "functional": "GGA-PBE", "state": "relaxed", "dos_ef_per_ev_atom": 0.0000, "e_form_raw_ev_per_atom": -0.935, "spacegroup": "Pc, No. 7", "energy_ev_per_atom": -5.316, "lattice_angstrom": [[13.589, 0.000, 0.000], [0.000, 10.084, 0.010], [0.000, 3.068, 11.152]], "species": ["O", "O", "Se", "In", "O", "O", "O", "Se", "O", "O", "Se", "O", "Se", "O", "O", "Se", "O", "Se", "O", "O", "O", "Se", "O", "Se", "In", "O", "Se", "O", "O", "O", "O", "O", "O", "O", "O", "O", "Se", "O", "O", "O", "Se", "O", "Se", "O", "O", "O", "O", "O", "O", "O", "In", "O", "O", "O", "O", "Se", "O", "In", "O", "In", "O", "Se", "Se", "O", "In", "O", "O", "In", "Se", "O", "Se", "O", "O", "Se", "Se", "In", "O", "O", "O", "O", "O", "O", "O", "Se", "Se", "Se", "O", "O", "O", "Se", "Se", "O"], "fractional_positions": [[0.705, 0.040, 0.349], [0.788, 0.936, 0.019], [0.261, 0.276, 0.076], [0.708, 0.577, 0.860], [0.226, 0.191, 0.975], [0.913, 0.334, 0.445], [0.792, 0.941, 0.734], [0.226, 0.921, 0.641], [0.348, 0.261, 0.726], [0.549, 0.560, 0.886], [0.985, 0.355, 0.109], [0.212, 0.436, 0.019], [0.739, 0.776, 0.076], [0.417, 0.365, 0.237], [0.060, 0.143, 0.474], [0.774, 0.421, 0.641], [0.796, 0.550, 0.308], [0.956, 0.185, 0.539], [0.548, 0.188, 0.174], [0.293, 0.901, 0.017], [0.859, 0.578, 0.791], [0.699, 0.915, 0.644], [0.451, 0.060, 0.886], [0.510, 0.842, 0.122], [0.456, 0.516, 0.335], [0.047, 0.558, 0.830], [0.715, 0.420, 0.365], [0.611, 0.496, 0.294], [0.542, 0.863, 0.508], [0.138, 0.782, 0.161], [0.946, 0.752, 0.219], [0.707, 0.401, 0.017], [0.607, 0.794, 0.029], [0.208, 0.441, 0.734], [0.362, 0.610, 0.882], [0.204, 0.050, 0.308], [0.957, 0.680, 0.802], [0.940, 0.643, 0.474], [0.786, 0.246, 0.674], [0.054, 0.252, 0.219], [0.464, 0.187, 0.544], [0.638, 0.110, 0.882], [0.301, 0.415, 0.644], [0.982, 0.770, 0.645], [0.546, 0.164, 0.440], [0.834, 0.239, 0.939], [0.862, 0.282, 0.161], [0.107, 0.523, 0.392], [0.772, 0.838, 0.543], [0.953, 0.058, 0.830], [0.045, 0.038, 0.329], [0.087, 0.834, 0.445], [0.893, 0.023, 0.392], [0.019, 0.002, 0.154], [0.166, 0.739, 0.939], [0.490, 0.342, 0.122], [0.141, 0.078, 0.791], [0.955, 0.538, 0.329], [0.685, 0.446, 0.738], [0.292, 0.077, 0.860], [0.454, 0.664, 0.440], [0.536, 0.687, 0.544], [0.235, 0.747, 0.061], [0.389, 0.996, 0.294], [0.206, 0.587, 0.844], [0.295, 0.540, 0.349], [0.314, 0.949, 0.513], [0.794, 0.087, 0.844], [0.765, 0.247, 0.061], [0.018, 0.270, 0.645], [0.533, 0.185, 0.818], [0.447, 0.650, 0.669], [0.774, 0.691, 0.975], [0.795, 0.920, 0.383], [0.043, 0.180, 0.802], [0.544, 0.016, 0.335], [0.452, 0.688, 0.174], [0.981, 0.502, 0.154], [0.652, 0.761, 0.726], [0.315, 0.946, 0.738], [0.393, 0.294, 0.029], [0.458, 0.363, 0.508], [0.553, 0.150, 0.669], [0.044, 0.685, 0.539], [0.205, 0.420, 0.383], [0.015, 0.855, 0.109], [0.214, 0.746, 0.674], [0.686, 0.449, 0.513], [0.583, 0.865, 0.237], [0.285, 0.920, 0.365], [0.467, 0.685, 0.818], [0.228, 0.338, 0.543]]}

---

{"formula": "InSeO2", "functional": "GGA-PBE", "state": "relaxed", "dos_ef_per_ev_atom": 0.3049, "e_form_raw_ev_per_atom": -0.912, "spacegroup": "R-3m, No. 166", "energy_ev_per_atom": -4.947, "lattice_angstrom": [[1.907, 0.000, 6.366], [-0.954, 1.652, 6.366], [-0.954, -1.652, 6.366]], "species": ["In", "O", "O", "Se"], "fractional_positions": [[0.500, 0.500, 0.500], [0.891, 0.891, 0.891], [0.109, 0.109, 0.109], [0.000, 0.000, 0.000]]}

---

{"formula": "In2Se3O12", "functional": "GGA-PBE", "state": "relaxed", "dos_ef_per_ev_atom": 0.0000, "e_form_raw_ev_per_atom": -0.879, "spacegroup": "P2_1/c, No. 14", "energy_ev_per_atom": -5.316, "lattice_angstrom": [[9.364, 0.000, 0.000], [0.000, 8.965, -0.055], [0.000, 8.705, 12.547]], "species": ["O", "O", "Se", "O", "Se", "Se", "O", "O", "O", "O", "O", "Se", "Se", "O", "Se", "O", "O", "O", "Se", "O", "In", "O", "O", "O", "O", "O", "Se", "O", "O", "O", "O", "O", "O", "O", "Se", "O", "O", "O", "O", "O", "Se", "O", "O", "In", "O", "O", "O", "O", "In", "O", "O", "In", "O", "O", "O", "Se", "In", "O", "O", "O", "In", "In", "Se", "O", "In", "O", "O", "O"], "fractional_positions": [[0.801, 0.537, 0.394], [0.107, 0.854, 0.024], [0.380, 0.035, 0.856], [0.301, 0.463, 0.106], [0.876, 0.258, 0.844], [0.124, 0.742, 0.156], [0.120, 0.611, 0.932], [0.922, 0.182, 0.554], [0.296, 0.691, 0.189], [0.121, 0.502, 0.419], [0.179, 0.253, 0.049], [0.254, 0.458, 0.503], [0.246, 0.458, 0.003], [0.621, 0.498, 0.081], [0.376, 0.742, 0.656], [0.578, 0.182, 0.054], [0.379, 0.502, 0.919], [0.918, 0.121, 0.807], [0.620, 0.965, 0.144], [0.498, 0.126, 0.757], [0.035, 0.636, 0.615], [0.321, 0.253, 0.549], [0.885, 0.844, 0.592], [0.204, 0.691, 0.689], [0.217, 0.042, 0.809], [0.393, 0.854, 0.524], [0.746, 0.542, 0.497], [0.615, 0.844, 0.092], [0.717, 0.958, 0.691], [0.002, 0.126, 0.257], [0.380, 0.611, 0.432], [0.502, 0.874, 0.243], [0.998, 0.874, 0.743], [0.981, 0.441, 0.783], [0.120, 0.035, 0.356], [0.199, 0.463, 0.606], [0.019, 0.559, 0.217], [0.796, 0.309, 0.311], [0.880, 0.389, 0.068], [0.078, 0.818, 0.446], [0.754, 0.542, 0.997], [0.879, 0.498, 0.581], [0.582, 0.121, 0.307], [0.535, 0.364, 0.885], [0.519, 0.441, 0.283], [0.821, 0.747, 0.951], [0.115, 0.156, 0.408], [0.704, 0.309, 0.811], [0.031, 0.866, 0.886], [0.082, 0.879, 0.193], [0.422, 0.818, 0.946], [0.965, 0.364, 0.385], [0.283, 0.042, 0.309], [0.893, 0.146, 0.976], [0.620, 0.389, 0.568], [0.880, 0.965, 0.644], [0.465, 0.636, 0.115], [0.481, 0.559, 0.717], [0.418, 0.879, 0.693], [0.783, 0.958, 0.191], [0.469, 0.866, 0.386], [0.531, 0.134, 0.614], [0.624, 0.258, 0.344], [0.385, 0.156, 0.908], [0.969, 0.134, 0.114], [0.699, 0.537, 0.894], [0.679, 0.747, 0.451], [0.607, 0.146, 0.476]]}

---

{"formula": "InSe2O", "functional": "GGA-PBE", "state": "relaxed", "dos_ef_per_ev_atom": 0.3783, "e_form_raw_ev_per_atom": 0.022, "spacegroup": "I-42d, No. 122", "energy_ev_per_atom": -3.645, "lattice_angstrom": [[-0.947, -5.136, -0.802], [4.183, -0.269, -3.216], [5.471, -4.215, 3.130]], "species": ["O", "Se", "O", "In", "Se", "In", "Se", "Se"], "fractional_positions": [[0.250, 0.750, 0.500], [0.528, 0.125, 0.250], [0.500, 0.500, 0.000], [0.000, 0.000, 0.000], [0.875, 0.778, 0.750], [0.750, 0.250, 0.500], [0.375, 0.472, 0.750], [0.222, 0.625, 0.250]]}